Entry w
ZrVPd: relaxed, PBE.

a = 3.2882 Å, b = 3.2882 Å, c = 10.5159 Å
α = 98.99°, β = 98.99°, γ = 90.00°
Fractional coordinates of all 6 atoms:
Zr 0.8669 0.8669 0.7339
Zr 0.1331 0.1331 0.2661
V 0.7213 0.7213 0.4427
V 0.2787 0.2787 0.5573
Pd 0.5636 0.5636 0.1272
Pd 0.4364 0.4364 0.8728

=====

Entry x
ZrVPd: relaxed, PBE.

a = 3.0149 Å, b = 3.0149 Å, c = 6.0759 Å
α = 104.37°, β = 104.37°, γ = 90.00°
Fractional coordinates of all 3 atoms:
Pd 0.0202 0.0202 0.0403
V 0.6530 0.6530 0.3061
Zr 0.3268 0.3268 0.6536

=====

Of the structures shown above, entry x is the least stable.